Density functional theory data (PBE) for a geometry-optimized Hf3ScP structure.

## Properties
ΔE_f, meV/atom: 1434
D(E_F), states/eV/atom: 1.49
Energy above the lowest structure with this stoichiometry, meV per atom: 1709
Volume, Å³ per atom: 24.36

a b c (Å): 4.9570 4.9570 4.9570
angles (deg): 90.00 90.00 90.00
Last column: nearest neighbours and their distance in Å.
Element x y z (fractional)
1 Hf 0.0000 0.0000 0.5000  2 Sc 2.48
2 Hf 0.0000 0.5000 0.0000  2 Sc 2.48
3 Hf 0.5000 0.0000 0.0000  2 Sc 2.48
4 Sc 0.0000 0.0000 0.0000  6 Hf 2.48
5 P 0.5000 0.5000 0.5000  12 Hf 3.51

Density functional theory data (PBE) for a geometry-optimized MnTl2Au2 structure.

## Properties
ΔE_f, meV/atom: 179
D(E_F), states/eV/atom: 0.53
Volume, Å³ per atom: 23.62

a b c (Å): 6.9889 6.9889 4.8351
angles (deg): 90.00 90.00 90.00
Last column: nearest neighbours and their distance in Å.
Element x y z (fractional)
1 Mn 0.0000 0.0000 0.0000  4 Au 2.69
2 Mn 0.5000 0.5000 0.0000  4 Au 2.69
3 Tl 0.1741 0.3259 0.5000  6 Au 3.02-3.29
4 Tl 0.3259 0.8259 0.5000  6 Au 3.02-3.29
5 Tl 0.6741 0.1741 0.5000  6 Au 3.02-3.29
6 Tl 0.8259 0.6741 0.5000  6 Au 3.02-3.29
7 Au 0.1431 0.6431 0.0000  2 Mn 2.69, 1 Au 2.83
8 Au 0.3569 0.1431 0.0000  2 Mn 2.69, 1 Au 2.83
9 Au 0.6431 0.8569 0.0000  2 Mn 2.69, 1 Au 2.83
10 Au 0.8569 0.3569 0.0000  2 Mn 2.69, 1 Au 2.83

Density functional theory data (PBE) for a geometry-optimized Th3Tl2Pb structure.

## Properties
ΔE_f, meV/atom: -197
D(E_F), states/eV/atom: 0.85
Volume, Å³ per atom: 29.52

a b c (Å): 8.0106 8.0106 4.6267
angles (deg): 90.00 90.00 143.37
Last column: nearest neighbours and their distance in Å.
Element x y z (fractional)
1 Th 0.0000 0.0000 0.0000  4 Pb 3.42, 4 Tl 3.46, 4 Th 3.57
2 Th 0.3331 0.6669 0.0000  6 Tl 3.40-3.42, 2 Pb 3.43, 4 Th 3.57
3 Th 0.6669 0.3331 0.0000  6 Tl 3.40-3.42, 2 Pb 3.43, 4 Th 3.57
4 Tl 0.1691 0.8309 0.5000  8 Th 3.40-3.46, 2 Tl 3.52, 2 Pb 3.60
5 Tl 0.8309 0.1691 0.5000  8 Th 3.40-3.46, 2 Tl 3.52, 2 Pb 3.60
6 Pb 0.5000 0.5000 0.5000  8 Th 3.42-3.43, 4 Tl 3.60

Density functional theory data (PBE) for a geometry-optimized NdSc3Al8 structure.

## Properties
ΔE_f, meV/atom: -471
D(E_F), states/eV/atom: 0.79
Energy above the lowest structure with this stoichiometry, meV per atom: 0
Volume, Å³ per atom: 19.10

a b c (Å): 9.4937 9.4937 9.4937
angles (deg): 33.27 33.27 33.27
Last column: nearest neighbours and their distance in Å.
Element x y z (fractional)
1 Nd 0.0000 0.0000 0.0000  12 Al 3.19-3.25, 4 Sc 3.36-3.40
2 Sc 0.3777 0.3777 0.3777  12 Al 3.18-3.34, 1 Sc 3.26, 3 Nd 3.36
3 Sc 0.4989 0.4989 0.4989  12 Al 3.16-3.19, 4 Sc 3.26-3.33
4 Sc 0.8737 0.8737 0.8737  12 Al 3.13-3.18, 3 Sc 3.33, 1 Nd 3.40
5 Al 0.1867 0.1867 0.1867  6 Al 2.69
6 Al 0.4354 0.4354 0.9332  6 Al 2.69-2.80
7 Al 0.4354 0.9332 0.4354  6 Al 2.69-2.80
8 Al 0.4411 0.9383 0.9383  6 Al 2.69-2.76
9 Al 0.6879 0.6879 0.6879  6 Al 2.76-2.80
10 Al 0.9332 0.4354 0.4354  6 Al 2.69-2.80
11 Al 0.9383 0.4411 0.9383  6 Al 2.69-2.76
12 Al 0.9383 0.9383 0.4411  6 Al 2.69-2.76